Entry 1:
# NaCoB2 PBE relaxed
data_NaCoB2
_symmetry_space_group_name_H-M 'F m -3 m'
_symmetry_Int_Tables_number 225
_symmetry_space_group_name_Hall '-F 4 2 3'
_cell_length_a 5.322
_cell_length_b 5.322
_cell_length_c 5.322
_cell_angle_alpha 90.00
_cell_angle_beta 90.00
_cell_angle_gamma 90.00
loop_
_atom_site_label
_atom_site_fract_x
_atom_site_fract_y
_atom_site_fract_z
Na1 0.000 0.000 0.000
Co1 0.000 0.000 0.500
B1 0.250 0.250 0.250
# Density of states at the Fermi level (states/eV/f.u.): 2.8
# Energy above the most stable polymorph in this dataset (eV/f.u.): 2.49
# Calculated formation energy (kJ/mol of formula units): 411.3

Entry 2:
# BaZn2Cd10 PBE relaxed
data_BaZn2Cd10
_symmetry_space_group_name_H-M 'F m m m'
_symmetry_Int_Tables_number 69
_symmetry_space_group_name_Hall '-F 2 2'
_cell_length_a 5.853
_cell_length_b 14.248
_cell_length_c 14.388
_cell_angle_alpha 90.00
_cell_angle_beta 90.00
_cell_angle_gamma 90.00
loop_
_atom_site_label
_atom_site_fract_x
_atom_site_fract_y
_atom_site_fract_z
Ba1 0.000 0.000 0.000
Zn1 0.250 0.000 0.250
Cd1 0.000 0.107 0.385
Cd2 0.000 0.173 0.181
Cd3 0.250 0.250 0.000
# Density of states at the Fermi level (states/eV/f.u.): 3.9
# Calculated formation energy (kJ/mol of formula units): -152.1

Entry 3:
# BaNa3P PBE relaxed
data_BaNa3P
_symmetry_space_group_name_H-M 'P m -3 m'
_symmetry_Int_Tables_number 221
_symmetry_space_group_name_Hall '-P 4 2 3'
_cell_length_a 6.324
_cell_length_b 6.324
_cell_length_c 6.324
_cell_angle_alpha 90.00
_cell_angle_beta 90.00
_cell_angle_gamma 90.00
loop_
_atom_site_label
_atom_site_fract_x
_atom_site_fract_y
_atom_site_fract_z
Ba1 0.000 0.000 0.000
Na1 0.000 0.000 0.500
P1 0.500 0.500 0.500
# Density of states at the Fermi level (states/eV/f.u.): 7.7
# Energy above the most stable polymorph in this dataset (eV/f.u.): 6.19
# Calculated formation energy (kJ/mol of formula units): 569.2

Entry 4:
# Tl10Se3Cl3 PBE relaxed
data_Tl10Se3Cl3
_symmetry_space_group_name_H-M 'P -6 2 m'
_symmetry_Int_Tables_number 189
_symmetry_space_group_name_Hall 'P -6 -2'
_cell_length_a 9.3692
_cell_length_b 9.3692
_cell_length_c 6.8117
_cell_angle_alpha 90.00
_cell_angle_beta 90.00
_cell_angle_gamma 120.00
loop_
_atom_site_label
_atom_site_fract_x
_atom_site_fract_y
_atom_site_fract_z
Tl1 0.0000 0.3525 0.0000
Tl2 0.0000 0.7557 0.5000
Tl3 0.3333 0.6667 0.2582
Se1 0.0000 0.4265 0.5000
Cl1 0.0000 0.7188 0.0000
# Density of states at the Fermi level (states/eV/f.u.): 2.8
# Formation energy (no corrections) (eV/f.u.): -8.3

Entry 5:
# Pa3Tl4CuSe8 PBE relaxed
data_Pa3Tl4CuSe8
_symmetry_space_group_name_H-M 'C 1 2/m 1'
_symmetry_Int_Tables_number 12
_cell_length_a 14.275
_cell_length_b 8.186
_cell_length_c 9.259
_cell_angle_alpha 90.00
_cell_angle_beta 120.98
_cell_angle_gamma 90.00
loop_
_symmetry_equiv_pos_as_xyz
'x,y,z'
'-x,-y,-z'
'-x,y,-z'
'x,-y,z'
'x+1/2,y+1/2,z'
'-x+1/2,-y+1/2,-z'
'-x+1/2,y+1/2,-z'
'x+1/2,-y+1/2,z'
loop_
_atom_site_label
_atom_site_fract_x
_atom_site_fract_y
_atom_site_fract_z
Pa1 0.000 0.000 0.000
Pa2 0.250 0.250 0.000
Tl1 0.000 0.000 0.500
Tl2 0.000 0.500 0.500
Tl3 0.250 0.250 0.500
Cu1 0.000 0.500 0.000
Se1 0.016 0.256 0.802
Se2 0.233 0.500 0.202
Se3 0.236 0.000 0.208
# Density of states at the Fermi level (states/eV/f.u.): 14.3
# Formation energy (no corrections) (eV/f.u.): -13.5

Entry 6:
# PmHoSe2 PBE relaxed
data_PmHoSe2
_symmetry_space_group_name_H-M 'R 3 m'
_symmetry_Int_Tables_number 160
_symmetry_space_group_name_Hall 'R 3 -2"'
_cell_length_a 4.0008
_cell_length_b 4.0008
_cell_length_c 21.7552
_cell_angle_alpha 90.00
_cell_angle_beta 90.00
_cell_angle_gamma 120.00
loop_
_atom_site_label
_atom_site_fract_x
_atom_site_fract_y
_atom_site_fract_z
Pm1 0.0000 0.0000 0.0000
Ho1 0.0000 0.0000 0.8231
Se1 0.0000 0.0000 0.4139
Se2 0.0000 0.0000 0.5759
# Density of states at the Fermi level (states/eV/f.u.): 1.3
# Energy above the most stable polymorph in this dataset (eV/f.u.): 0.14
# Formation energy (no corrections) (eV/f.u.): -7.0

Entry 7:
# ThHIr PBE relaxed
data_ThHIr
_symmetry_space_group_name_H-M 'P n m a'
_symmetry_Int_Tables_number 62
_cell_length_a 11.088
_cell_length_b 4.684
_cell_length_c 3.854
_cell_angle_alpha 90.00
_cell_angle_beta 90.00
_cell_angle_gamma 90.00
loop_
_symmetry_equiv_pos_as_xyz
'x,y,z'
'-x,-y,-z'
'-x+1/2,-y,z+1/2'
'x+1/2,y,-z+1/2'
'x+1/2,-y+1/2,-z+1/2'
'-x+1/2,y+1/2,z+1/2'
'-x,y+1/2,-z'
'x,-y+1/2,z'
loop_
_atom_site_label
_atom_site_fract_x
_atom_site_fract_y
_atom_site_fract_z
Th1 0.138 0.250 0.001
H1 0.097 0.750 0.001
Ir1 0.096 0.750 0.501
# Density of states at the Fermi level (states/eV/f.u.): 1.1
# Energy above the most stable polymorph in this dataset (eV/f.u.): 0.00

Entry 8:
# Pm3NpSb4 PBE relaxed
data_Pm3NpSb4
_symmetry_space_group_name_H-M 'P 1 2/c 1'
_symmetry_Int_Tables_number 13
_cell_length_a 7.742
_cell_length_b 8.946
_cell_length_c 7.737
_cell_angle_alpha 90.00
_cell_angle_beta 109.49
_cell_angle_gamma 90.00
loop_
_symmetry_equiv_pos_as_xyz
'x,y,z'
'-x,-y,-z'
'-x,y,-z+1/2'
'x,-y,z+1/2'
loop_
_atom_site_label
_atom_site_fract_x
_atom_site_fract_y
_atom_site_fract_z
Pm1 0.000 0.124 0.250
Pm2 0.000 0.374 0.750
Pm3 0.500 0.124 0.750
Np1 0.500 0.375 0.250
Sb1 0.252 0.128 0.003
Sb2 0.255 0.378 0.499
# Density of states at the Fermi level (states/eV/f.u.): 12.0
# Formation energy (no corrections) (eV/f.u.): -7.5

Entry 9:
# La3YTl3Te8 PBE relaxed
data_La3YTl3Te8
_symmetry_space_group_name_H-M 'R -3 m'
_symmetry_Int_Tables_number 166
_symmetry_space_group_name_Hall '-R 3 2"'
_cell_length_a 9.2097
_cell_length_b 9.2097
_cell_length_c 24.1337
_cell_angle_alpha 90.00
_cell_angle_beta 90.00
_cell_angle_gamma 120.00
loop_
_atom_site_label
_atom_site_fract_x
_atom_site_fract_y
_atom_site_fract_z
La1 0.0000 0.5000 0.0000
Y1 0.0000 0.0000 0.0000
Tl1 0.0000 0.5000 0.5000
Te1 0.0000 0.0000 0.2579
Te2 0.0113 0.5056 0.7397
# Density of states at the Fermi level (states/eV/f.u.): 8.9
# Formation energy (no corrections) (eV/f.u.): -16.8

Entry 10:
# NaAc2CuO5 PBE relaxed
data_NaAc2CuO5
_symmetry_space_group_name_H-M 'P 4/m b m'
_symmetry_Int_Tables_number 127
_symmetry_space_group_name_Hall '-P 4 2ab'
_cell_length_a 7.148
_cell_length_b 7.148
_cell_length_c 5.705
_cell_angle_alpha 90.00
_cell_angle_beta 90.00
_cell_angle_gamma 90.00
loop_
_atom_site_label
_atom_site_fract_x
_atom_site_fract_y
_atom_site_fract_z
Na1 0.000 0.000 0.000
Ac1 0.182 0.318 0.500
Cu1 0.000 0.500 0.000
O1 0.000 0.000 0.500
O2 0.127 0.627 0.234
# Formation energy (no corrections) (eV/f.u.): -20.0

Entry 11:
# Rb2HgRhI6 PBE relaxed
data_Rb2HgRhI6
_symmetry_space_group_name_H-M 'I 4/m m m'
_symmetry_Int_Tables_number 139
_symmetry_space_group_name_Hall '-I 4 2'
_cell_length_a 8.312
_cell_length_b 8.312
_cell_length_c 11.522
_cell_angle_alpha 90.00
_cell_angle_beta 90.00
_cell_angle_gamma 90.00
loop_
_atom_site_label
_atom_site_fract_x
_atom_site_fract_y
_atom_site_fract_z
Rb1 0.000 0.500 0.250
Hg1 0.000 0.000 0.000
Rh1 0.000 0.000 0.500
I1 0.000 0.000 0.262
I2 0.232 0.232 0.500
# Density of states at the Fermi level (states/eV/f.u.): 3.9
# Formation energy (no corrections) (eV/f.u.): -6.7

Spin magnetization in μB/f.u., matching the order above: 0.000 0.000 0.002 0.000 4.037 0.000 0.000 3.920 0.000 0.000 0.000